No. 1
DFT (GGA-PBEsol) results for BeNbAlAs2 after structural relaxation.

Cell and atoms, written as POSCAR:
```
BeNbAlAs2
1.0
4.785 0.000 0.000
0.000 4.785 0.000
0.000 0.000 4.073
Be Nb Al As
1 1 1 2
direct
0.000 0.000 0.000
0.500 0.500 0.000
0.000 0.000 0.500
0.000 0.500 0.500
0.500 0.000 0.500
```

Summary:
Calculated density ... 4.96 g cm⁻³
Total magnetization ... 0.32 μB/atom
E_form ... 1.026 eV/atom

No. 2
DFT (GGA-PBEsol) results for BeAlAs2Pt after structural relaxation.

Cell and atoms, written as POSCAR:
```
BeAlAs2Pt
1.0
4.692 0.000 0.000
0.000 4.692 0.000
0.000 0.000 4.635
Be Al As Pt
1 1 2 1
direct
0.000 0.000 0.000
0.500 0.500 0.500
0.000 0.500 0.500
0.500 0.000 0.500
0.500 0.500 0.000
```

Summary:
Calculated density ... 6.20 g cm⁻³
Total magnetization ... 0.00 μB/atom
E_form ... 1.013 eV/atom

No. 3
DFT (GGA-PBEsol) results for BeAlAsSe2 after structural relaxation.

Cell and atoms, written as POSCAR:
```
BeAlAsSe2
1.0
4.707 0.000 0.000
0.000 4.707 0.000
0.000 0.000 4.210
Be Al As Se
1 1 1 2
direct
0.000 0.000 0.000
0.500 0.500 0.500
0.000 0.000 0.500
0.000 0.500 0.000
0.500 0.000 0.000
```

Summary:
Calculated density ... 4.79 g cm⁻³
Total magnetization ... 0.00 μB/atom
Energy relative to the elements, uncorrected ... 319 meV per atom

No. 4
DFT (GGA-PBEsol) results for BeAl2TlAs after structural relaxation.

Cell and atoms, written as POSCAR:
```
BeAl2TlAs
1.0
5.117 0.000 0.000
0.000 5.117 0.000
0.000 0.000 4.377
Be Al Tl As
1 2 1 1
direct
0.000 0.000 0.000
0.000 0.500 0.500
0.500 0.000 0.500
0.000 0.000 0.500
0.500 0.500 0.000
```

Summary:
Calculated density ... 4.96 g cm⁻³
Total magnetization ... 0.00 μB/atom
E_form ... 0.998 eV/atom

No. 5
DFT (GGA-PBEsol) results for Al2BiAs after structural relaxation.

Cell and atoms, written as POSCAR:
```
Al2BiAs
1.0
-3.014 3.014 5.973
3.014 -3.014 5.973
3.014 3.014 -5.973
Al Bi As
4 2 2
direct
0.089 0.625 0.964
0.375 0.339 0.464
0.661 0.125 0.036
0.875 0.911 0.536
0.250 0.750 0.500
0.500 0.500 0.000
0.000 0.000 0.000
0.750 0.250 0.500
```

Summary:
Calculated density ... 5.17 g cm⁻³
Total magnetization ... 0.00 μB/atom
E_form ... -0.126 eV/atom

No. 6
DFT (GGA-PBEsol) results for Ca2AlBiAs after structural relaxation.

Cell and atoms, written as POSCAR:
```
Ca2AlBiAs
1.0
5.496 0.000 0.000
0.000 5.496 0.000
0.000 0.000 4.834
Ca Al Bi As
2 1 1 1
direct
0.000 0.500 0.000
0.500 0.000 0.000
0.000 0.000 0.500
0.500 0.500 0.500
0.000 0.000 0.000
```

Summary:
Calculated density ... 4.45 g cm⁻³
Total magnetization ... 0.00 μB/atom
E_form ... -0.496 eV/atom

No. 7
DFT (GGA-PBEsol) results for AlAsBr2 after structural relaxation.

Cell and atoms, written as POSCAR:
```
AlAsBr2
1.0
0.000 3.515 3.515
3.515 0.000 3.515
3.515 3.515 0.000
Al As Br
1 1 2
direct
0.000 0.000 0.000
0.500 0.500 0.500
0.250 0.250 0.250
0.750 0.750 0.750
```

Summary:
Calculated density ... 5.00 g cm⁻³
Total magnetization ... 0.00 μB/atom
Energy relative to the elements, uncorrected ... 337 meV per atom
E above lowest polymorph ... 715 meV/atom

No. 8
DFT (GGA-PBEsol) results for Al2AsBr after structural relaxation.

Cell and atoms, written as POSCAR:
```
Al2AsBr
1.0
1.770 1.022 8.248
-1.770 1.022 8.248
0.000 -2.043 8.248
Al As Br
2 1 1
direct
0.000 0.000 0.000
0.255 0.255 0.255
0.724 0.724 0.724
0.519 0.519 0.519
```

Summary:
Calculated density ... 3.87 g cm⁻³
Total magnetization ... 0.00 μB/atom
Energy relative to the elements, uncorrected ... -133 meV per atom

No. 9
DFT (GGA-PBEsol) results for AlAsBr2 after structural relaxation.

Cell and atoms, written as POSCAR:
```
AlAsBr2
1.0
5.236 0.000 0.000
0.000 3.880 0.000
-1.426 0.000 5.279
Al As Br
1 1 2
direct
0.000 0.000 0.000
0.239 0.500 0.233
0.556 0.500 0.967
0.883 0.000 0.558
```

Summary:
Calculated density ... 4.05 g cm⁻³
Total magnetization ... 0.00 μB/atom
Energy relative to the elements, uncorrected ... -361 meV per atom
E above lowest polymorph ... 17 meV/atom

No. 10
DFT (GGA-PBEsol) results for AlAsBr2 after structural relaxation.

Cell and atoms, written as POSCAR:
```
AlAsBr2
1.0
3.676 0.000 0.000
0.000 3.676 0.000
0.000 0.000 7.980
Al As Br
1 1 2
direct
0.000 0.000 0.000
0.500 0.500 0.928
0.000 0.000 0.285
0.500 0.500 0.635
```

Summary:
Calculated density ... 4.03 g cm⁻³
Total magnetization ... 0.00 μB/atom
Energy relative to the elements, uncorrected ... -378 meV per atom
E above lowest polymorph ... 0 meV/atom

No. 11
DFT (GGA-PBEsol) results for AlAsBr2 after structural relaxation.

Cell and atoms, written as POSCAR:
```
AlAsBr2
1.0
1.941 -3.111 0.000
1.941 3.111 0.000
0.000 0.000 8.283
Al As Br
1 1 2
direct
0.000 0.000 0.000
0.500 0.500 0.816
0.000 0.000 0.588
0.500 0.500 0.214
```

Summary:
Calculated density ... 4.34 g cm⁻³
Total magnetization ... 0.00 μB/atom
Energy relative to the elements, uncorrected ... -64 meV per atom
E above lowest polymorph ... 314 meV/atom

No. 12
DFT (GGA-PBEsol) results for AlAsBr2 after structural relaxation.

Cell and atoms, written as POSCAR:
```
AlAsBr2
1.0
5.025 0.000 0.000
0.000 5.025 0.000
0.000 0.000 3.495
Al As Br
1 1 2
direct
0.000 0.000 0.000
0.500 0.500 0.000
0.000 0.500 0.500
0.500 0.000 0.500
```

Summary:
Calculated density ... 4.92 g cm⁻³
Total magnetization ... 0.00 μB/atom
Energy relative to the elements, uncorrected ... 262 meV per atom
E above lowest polymorph ... 640 meV/atom